[1]
A plane-wave DFT calculation with meta-GGA SCAN was carried out for a PBEsol-optimized structure of MgSc2In.

a = 4.671 Å, b = 3.295 Å, c = 11.738 Å
α = 90.00°, β = 90.00°, γ = 90.00°
Fractional positions:
Mg: 0.000 0.000 0.000
Mg: 0.000 0.500 0.500
Sc: 0.000 0.000 0.744
Sc: 0.000 0.500 0.244
Sc: 0.500 0.000 0.395
Sc: 0.500 0.500 0.895
In: 0.500 0.000 0.141
In: 0.500 0.500 0.641

Summary:
Space-group type   No. 38
Energy relative to the elements   -0.3028 eV/atom
Electronic total energy   -136.1 eV for the cell shown
Crystal system   orthorhombic

---

[2]
A plane-wave DFT calculation with meta-GGA SCAN was carried out for a PBEsol-optimized structure of KLaMg2N.

a = 4.439 Å, b = 4.439 Å, c = 5.668 Å
α = 90.00°, β = 90.00°, γ = 90.00°
Fractional positions:
K: 0.000 0.000 0.000
La: 0.500 0.500 0.000
Mg: 0.000 0.500 0.500
Mg: 0.500 0.000 0.500
N: 0.000 0.000 0.500

Summary:
Space-group type   No. 123
Electronic total energy   -69.2 eV for the cell shown
Crystal system   tetragonal
Energy relative to the elements, uncorrected   0.298 eV/atom

---

[3]
A plane-wave DFT calculation with meta-GGA SCAN was carried out for a PBEsol-optimized structure of PtAu2Se.

a = 2.891 Å, b = 4.771 Å, c = 9.880 Å
α = 90.00°, β = 90.00°, γ = 90.00°
Fractional positions:
Pt: 0.000 0.000 0.000
Pt: 0.500 0.500 0.500
Au: 0.000 0.500 0.255
Au: 0.000 0.500 0.745
Au: 0.500 0.000 0.245
Au: 0.500 0.000 0.755
Se: 0.000 0.000 0.500
Se: 0.500 0.500 0.000

Summary:
Space-group type   No. 71
Electronic total energy   -455.1 eV for the cell shown
Crystal system   orthorhombic
Energy relative to the elements, uncorrected   0.265 eV/atom

---

[4]
A plane-wave DFT calculation with meta-GGA SCAN was carried out for a PBEsol-optimized structure of LiMg2S2.

a = 6.886 Å, b = 6.886 Å, c = 3.494 Å
α = 90.00°, β = 90.00°, γ = 90.00°
Fractional positions:
Li: 0.000 0.000 0.000
Li: 0.500 0.500 0.000
Mg: 0.149 0.351 0.500
Mg: 0.351 0.851 0.500
Mg: 0.649 0.149 0.500
Mg: 0.851 0.649 0.500
S: 0.164 0.664 0.000
S: 0.336 0.164 0.000
S: 0.664 0.836 0.000
S: 0.836 0.336 0.000

Summary:
Space-group type   No. 127
Electronic total energy   -73.9 eV for the cell shown
Crystal system   tetragonal
Energy relative to the elements, uncorrected   -1.071 eV/atom

---

[5]
A plane-wave DFT calculation with meta-GGA SCAN was carried out for a PBEsol-optimized structure of KRu2Br.

a = 2.961 Å, b = 2.961 Å, c = 28.695 Å
α = 90.00°, β = 90.00°, γ = 120.00°
Fractional positions:
K: 0.000 0.000 0.000
K: 0.333 0.667 0.667
K: 0.667 0.333 0.333
Ru: 0.000 0.000 0.234
Ru: 0.000 0.000 0.766
Ru: 0.333 0.667 0.433
Ru: 0.333 0.667 0.901
Ru: 0.667 0.333 0.099
Ru: 0.667 0.333 0.567
Br: 0.000 0.000 0.500
Br: 0.333 0.667 0.167
Br: 0.667 0.333 0.833

Summary:
Space-group type   No. 166
Electronic total energy   -277.2 eV for the cell shown
Crystal system   trigonal
Energy relative to the elements, uncorrected   1.258 eV/atom

---

[6]
A plane-wave DFT calculation with meta-GGA SCAN was carried out for a PBEsol-optimized structure of PdRhF2.

a = 2.697 Å, b = 2.697 Å, c = 23.131 Å
α = 90.00°, β = 90.00°, γ = 120.00°
Fractional positions:
Pd: 0.000 0.000 0.000
Pd: 0.333 0.667 0.667
Pd: 0.667 0.333 0.333
Rh: 0.000 0.000 0.500
Rh: 0.333 0.667 0.167
Rh: 0.667 0.333 0.833
F: 0.000 0.000 0.086
F: 0.000 0.000 0.914
F: 0.333 0.667 0.581
F: 0.333 0.667 0.752
F: 0.667 0.333 0.248
F: 0.667 0.333 0.419

Summary:
Space-group type   No. 166
Electronic total energy   -228.7 eV for the cell shown
Crystal system   trigonal
Energy relative to the elements, uncorrected   -0.651 eV/atom

---

[7]
A plane-wave DFT calculation with meta-GGA SCAN was carried out for a PBEsol-optimized structure of SrZr2As.

a = 9.492 Å, b = 3.586 Å, c = 6.840 Å
α = 90.00°, β = 110.72°, γ = 90.00°
Fractional positions:
Sr: 0.000 0.000 0.000
Sr: 0.500 0.500 0.000
Zr: 0.179 0.000 0.654
Zr: 0.409 0.000 0.425
Zr: 0.679 0.500 0.654
Zr: 0.909 0.500 0.425
As: 0.184 0.500 0.365
As: 0.684 0.000 0.365

Summary:
Space-group type   No. 8
Energy relative to the elements   -0.2488 eV/atom
Electronic total energy   -209.7 eV for the cell shown
Crystal system   monoclinic

---

[8]
A plane-wave DFT calculation with meta-GGA SCAN was carried out for a PBEsol-optimized structure of CaTi2S4.

a = 14.478 Å, b = 3.475 Å, c = 5.837 Å
α = 90.00°, β = 112.07°, γ = 90.00°
Fractional positions:
Ca: 0.000 0.000 0.000
Ca: 0.500 0.500 0.000
Ti: 0.247 0.500 0.733
Ti: 0.253 0.000 0.267
Ti: 0.747 0.000 0.733
Ti: 0.753 0.500 0.267
S: 0.139 0.000 0.483
S: 0.145 0.500 0.988
S: 0.355 0.000 0.012
S: 0.361 0.500 0.517
S: 0.639 0.500 0.483
S: 0.645 0.000 0.988
S: 0.855 0.500 0.012
S: 0.861 0.000 0.517

Summary:
Space-group type   No. 12
Electronic total energy   -185.2 eV for the cell shown
Crystal system   monoclinic
Energy relative to the elements, uncorrected   -1.766 eV/atom